Compound: ScZn2RuF
Source: Alexandria via LeMat-Bulk
Functional: PBE
Structure: optimized geometry

Unit cell a=4.2794 b=4.2794 c=4.3827 alpha=90.00 beta=90.00 gamma=90.00
Element x y z (fractional)
Sc 0.0000 0.0000 0.0000
Zn 0.0000 0.5000 0.5000
Zn 0.5000 0.0000 0.5000
Ru 0.5000 0.5000 0.0000
F 0.5000 0.5000 0.5000

## Properties
Formation energy (no corrections) in meV per atom: -170